DFT (PBE-GGA) results for Cr3Pt4 after structural relaxation.

Cell: 9.810 9.810 9.810 Å, 160.45 160.45 27.79°
Element x y z (fractional)
Cr 0.000 0.000 0.000
Cr 0.291 0.291 0.000
Cr 0.709 0.709 0.000
Pt 0.154 0.154 0.000
Pt 0.429 0.429 0.000
Pt 0.571 0.571 0.000
Pt 0.846 0.846 0.000

Calculated values
Polymorph energy (0 for the lowest one) in meV/atom: 65
Space-group type: I4/mmm (139)
Calculated formation energy in eV/f.u.: -0.25

=====

DFT (PBE-GGA) results for Cr3Pt after structural relaxation.

Cell: 4.135 5.286 4.666 Å, 90.00 90.00 90.00°
Element x y z (fractional)
Cr 0.250 0.012 0.150
Cr 0.250 0.488 0.150
Cr 0.250 0.750 0.687
Cr 0.750 0.250 0.313
Cr 0.750 0.512 0.850
Cr 0.750 0.988 0.850
Pt 0.250 0.250 0.661
Pt 0.750 0.750 0.339

Calculated values
Space-group type: Pmmn (59)
Calculated formation energy in eV/f.u.: 0.08

=====

DFT (PBE-GGA) results for Cr3Pt2 after structural relaxation.

Cell: 4.275 4.275 5.275 Å, 90.00 90.00 120.00°
Element x y z (fractional)
Cr 0.000 0.000 0.000
Cr 0.333 0.667 0.353
Cr 0.667 0.333 0.647
Pt 0.333 0.667 0.838
Pt 0.667 0.333 0.162

Calculated values
Polymorph energy (0 for the lowest one) in meV/atom: 339
Space-group type: P-3m1 (164)
Calculated formation energy in eV/f.u.: 1.40

=====

DFT (PBE-GGA) results for CrPt after structural relaxation.

Cell: 5.113 5.113 6.440 Å, 104.35 104.35 30.33°
Element x y z (fractional)
Cr 0.000 0.000 0.000
Cr 0.062 0.062 0.603
Cr 0.671 0.671 0.332
Pt 0.342 0.342 0.664
Pt 0.399 0.399 0.276
Pt 0.709 0.709 0.937

Calculated values
Space-group type: Cm (8)
Calculated formation energy in eV/f.u.: -0.24

=====

DFT (PBE-GGA) results for CrPt3 after structural relaxation.

Cell: 4.716 4.716 2.887 Å, 90.00 90.00 108.31°
Element x y z (fractional)
Cr 0.000 0.000 0.000
Pt 0.000 0.500 0.500
Pt 0.500 0.000 0.500
Pt 0.500 0.500 0.000

Calculated values
Space-group type: Cmmm (65)
Calculated formation energy in eV/f.u.: -0.63

=====

DFT (PBE-GGA) results for CrPt3 after structural relaxation.

Cell: 5.004 5.004 5.004 Å, 90.00 90.00 90.00°
Element x y z (fractional)
Cr 0.000 0.000 0.000
Cr 0.500 0.500 0.500
Pt 0.000 0.250 0.500
Pt 0.000 0.750 0.500
Pt 0.250 0.500 0.000
Pt 0.500 0.000 0.250
Pt 0.500 0.000 0.750
Pt 0.750 0.500 0.000

Calculated values
Space-group type: Pm-3n (223)
Calculated formation energy in eV/f.u.: 0.21

=====

DFT (PBE-GGA) results for CrPt after structural relaxation.

Cell: 4.650 4.650 4.650 Å, 33.77 33.77 33.77°
Element x y z (fractional)
Cr 0.000 0.000 0.000
Pt 0.500 0.500 0.500

Calculated values
Space-group type: R-3m (166)
Calculated formation energy in eV/f.u.: 0.02

=====

DFT (PBE-GGA) results for Cr3Pt after structural relaxation.

Cell: 2.657 2.657 8.473 Å, 90.00 90.00 120.00°
Element x y z (fractional)
Cr 0.000 0.000 0.000
Cr 0.667 0.333 0.241
Cr 0.667 0.333 0.759
Pt 0.000 0.000 0.500

Calculated values
Space-group type: P-6m2 (187)
Calculated formation energy in eV/f.u.: 0.87

=====

DFT (PBE-GGA) results for Cr3Pt2 after structural relaxation.

Cell: 6.856 5.096 7.870 Å, 59.34 39.75 80.91°
Element x y z (fractional)
Cr 0.000 0.000 0.000
Cr 0.250 0.250 0.250
Cr 0.449 0.739 0.349
Cr 0.739 0.449 0.463
Cr 0.787 0.901 0.511
Cr 0.901 0.787 0.801
Pt 0.193 0.517 0.903
Pt 0.347 0.863 0.057
Pt 0.517 0.193 0.387
Pt 0.863 0.347 0.733

Calculated values
Polymorph energy (0 for the lowest one) in meV/atom: 0
Space-group type: Fdd2 (43)
Calculated formation energy in eV/f.u.: -0.30

=====

DFT (PBE-GGA) results for CrPt after structural relaxation.

Cell: 4.291 4.291 4.291 Å, 60.00 60.00 60.00°
Element x y z (fractional)
Cr 0.125 0.125 0.125
Cr 0.875 0.875 0.875
Pt 0.375 0.375 0.375
Pt 0.625 0.625 0.625

Calculated values
Space-group type: Fd-3m (227)
Calculated formation energy in eV/f.u.: 0.24

=====

DFT (PBE-GGA) results for Cr3Pt after structural relaxation.

Cell: 2.610 3.766 5.266 Å, 90.00 97.96 90.00°
Element x y z (fractional)
Cr 0.000 0.000 0.000
Cr 0.413 0.500 0.216
Cr 0.587 0.500 0.784
Pt 0.000 0.000 0.500

Calculated values
Space-group type: P2/m (10)
Calculated formation energy in eV/f.u.: 0.08

=====

DFT (PBE-GGA) results for CrPt3 after structural relaxation.

Cell: 9.139 9.139 9.139 Å, 17.32 17.32 17.32°
Element x y z (fractional)
Cr 0.000 0.000 0.000
Pt 0.257 0.257 0.257
Pt 0.500 0.500 0.500
Pt 0.743 0.743 0.743

Calculated values
Space-group type: R-3m (166)
Calculated formation energy in eV/f.u.: -0.43

=====

DFT (PBE-GGA) results for CrPt after structural relaxation.

Cell: 9.780 9.780 2.723 Å, 90.00 90.00 90.00°
Element x y z (fractional)
Cr 0.011 0.355 0.000
Cr 0.030 0.812 0.500
Cr 0.188 0.030 0.500
Cr 0.355 0.989 0.000
Cr 0.645 0.011 0.000
Cr 0.812 0.970 0.500
Cr 0.970 0.188 0.500
Cr 0.989 0.645 0.000
Pt 0.215 0.534 0.000
Pt 0.230 0.281 0.500
Pt 0.281 0.770 0.500
Pt 0.466 0.215 0.000
Pt 0.534 0.785 0.000
Pt 0.719 0.230 0.500
Pt 0.770 0.719 0.500
Pt 0.785 0.466 0.000

Calculated values
Space-group type: P4/m (83)
Calculated formation energy in eV/f.u.: 0.62

=====

DFT (PBE-GGA) results for Cr5Pt after structural relaxation.

Cell: 6.548 6.548 3.012 Å, 90.00 90.00 142.64°
Element x y z (fractional)
Cr 0.000 0.000 0.000
Cr 0.165 0.835 0.500
Cr 0.324 0.676 0.000
Cr 0.676 0.324 0.000
Cr 0.835 0.165 0.500
Pt 0.500 0.500 0.500

Calculated values
Polymorph energy (0 for the lowest one) in meV/atom: 5
Space-group type: Cmmm (65)
Calculated formation energy in eV/f.u.: 0.06

=====

DFT (PBE-GGA) results for CrPt after structural relaxation.

Cell: 6.349 6.349 6.349 Å, 109.47 109.47 109.47°
Element x y z (fractional)
Cr 0.000 0.000 0.757
Cr 0.000 0.757 0.000
Cr 0.243 0.243 0.243
Cr 0.757 0.000 0.000
Pt 0.000 0.000 0.389
Pt 0.000 0.389 0.000
Pt 0.389 0.000 0.000
Pt 0.611 0.611 0.611

Calculated values
Space-group type: I-43m (217)
Calculated formation energy in eV/f.u.: 2.14

=====

DFT (PBE-GGA) results for Cr3Pt4 after structural relaxation.

Cell: 4.752 4.752 5.007 Å, 90.00 90.00 120.00°
Element x y z (fractional)
Cr 0.000 0.500 0.000
Cr 0.500 0.000 0.000
Cr 0.500 0.500 0.000
Pt 0.000 0.000 0.252
Pt 0.000 0.000 0.748
Pt 0.333 0.667 0.500
Pt 0.667 0.333 0.500

Calculated values
Polymorph energy (0 for the lowest one) in meV/atom: 0
Space-group type: P6/mmm (191)
Calculated formation energy in eV/f.u.: -0.70

=====

DFT (PBE-GGA) results for Cr3Pt after structural relaxation.

Cell: 4.673 4.673 4.673 Å, 90.00 90.00 90.00°
Element x y z (fractional)
Cr 0.000 0.250 0.500
Cr 0.000 0.750 0.500
Cr 0.250 0.500 0.000
Cr 0.500 0.000 0.250
Cr 0.500 0.000 0.750
Cr 0.750 0.500 0.000
Pt 0.000 0.000 0.000
Pt 0.500 0.500 0.500

Calculated values
Space-group type: Pm-3n (223)
Calculated formation energy in eV/f.u.: -0.17

=====

DFT (PBE-GGA) results for Cr5Pt4 after structural relaxation.

Cell: 6.068 6.068 6.068 Å, 95.51 95.51 143.91°
Element x y z (fractional)
Cr 0.000 0.000 0.000
Cr 0.338 0.338 0.676
Cr 0.338 0.662 0.000
Cr 0.662 0.338 0.000
Cr 0.662 0.662 0.324
Pt 0.000 0.321 0.321
Pt 0.000 0.679 0.679
Pt 0.321 0.000 0.321
Pt 0.679 0.000 0.679

Calculated values
Polymorph energy (0 for the lowest one) in meV/atom: 0
Space-group type: I4/mmm (139)
Calculated formation energy in eV/f.u.: -1.22

=====

DFT (PBE-GGA) results for CrPt4 after structural relaxation.

Cell: 11.402 11.402 11.402 Å, 13.89 13.89 13.89°
Element x y z (fractional)
Cr 0.000 0.000 0.000
Pt 0.202 0.202 0.202
Pt 0.394 0.394 0.394
Pt 0.606 0.606 0.606
Pt 0.798 0.798 0.798

Calculated values
Polymorph energy (0 for the lowest one) in meV/atom: 28
Space-group type: R-3m (166)
Calculated formation energy in eV/f.u.: -0.66

=====

DFT (PBE-GGA) results for CrPt after structural relaxation.

Cell: 2.834 13.352 4.616 Å, 90.00 90.00 90.00°
Element x y z (fractional)
Cr 0.250 0.097 0.113
Cr 0.250 0.403 0.113
Cr 0.250 0.750 0.738
Cr 0.750 0.250 0.262
Cr 0.750 0.597 0.887
Cr 0.750 0.903 0.887
Pt 0.250 0.250 0.758
Pt 0.250 0.580 0.385
Pt 0.250 0.920 0.385
Pt 0.750 0.080 0.615
Pt 0.750 0.420 0.615
Pt 0.750 0.750 0.242

Calculated values
Space-group type: Pmmn (59)
Calculated formation energy in eV/f.u.: -0.16

=====

DFT (PBE-GGA) results for CrPt4 after structural relaxation.

Cell: 7.055 7.055 7.055 Å, 149.97 149.97 42.99°
Element x y z (fractional)
Cr 0.000 0.000 0.000
Pt 0.250 0.750 0.500
Pt 0.404 0.404 0.000
Pt 0.596 0.596 0.000
Pt 0.750 0.250 0.500

Calculated values
Polymorph energy (0 for the lowest one) in meV/atom: 401
Space-group type: I4/mmm (139)
Calculated formation energy in eV/f.u.: 1.21

=====

DFT (PBE-GGA) results for CrPt3 after structural relaxation.

Cell: 4.805 4.805 4.780 Å, 101.26 101.26 34.08°
Element x y z (fractional)
Cr 0.000 0.000 0.000
Pt 0.259 0.259 0.757
Pt 0.500 0.500 0.500
Pt 0.741 0.741 0.243

Calculated values
Space-group type: C2/m (12)
Calculated formation energy in eV/f.u.: -0.59

=====

DFT (PBE-GGA) results for Cr3Pt after structural relaxation.

Cell: 4.525 4.525 4.590 Å, 98.24 98.24 33.44°
Element x y z (fractional)
Cr 0.000 0.000 0.000
Cr 0.247 0.247 0.760
Cr 0.753 0.753 0.240
Pt 0.500 0.500 0.500

Calculated values
Space-group type: C2/m (12)
Calculated formation energy in eV/f.u.: 0.34

=====

DFT (PBE-GGA) results for CrPt after structural relaxation.

Cell: 2.686 4.342 4.711 Å, 90.00 90.00 90.00°
Element x y z (fractional)
Cr 0.250 0.250 0.089
Cr 0.750 0.750 0.911
Pt 0.250 0.750 0.393
Pt 0.750 0.250 0.607

Calculated values
Space-group type: Pmmn (59)
Calculated formation energy in eV/f.u.: -0.06

=====

DFT (PBE-GGA) results for CrPt4 after structural relaxation.

Cell: 4.816 4.816 4.816 Å, 99.62 99.62 131.74°
Element x y z (fractional)
Cr 0.000 0.000 0.000
Pt 0.203 0.399 0.601
Pt 0.399 0.797 0.196
Pt 0.601 0.203 0.804
Pt 0.797 0.601 0.399

Calculated values
Polymorph energy (0 for the lowest one) in meV/atom: 0
Space-group type: I4/m (87)
Calculated formation energy in eV/f.u.: -0.80

=====

DFT (PBE-GGA) results for CrPt after structural relaxation.

Cell: 6.909 6.909 6.909 Å, 90.00 90.00 90.00°
Element x y z (fractional)
Cr 0.000 0.250 0.500
Cr 0.000 0.750 0.500
Cr 0.250 0.500 0.000
Cr 0.500 0.000 0.250
Cr 0.500 0.000 0.750
Cr 0.750 0.500 0.000
Pt 0.000 0.500 0.250
Pt 0.000 0.500 0.750
Pt 0.250 0.000 0.500
Pt 0.500 0.250 0.000
Pt 0.500 0.750 0.000
Pt 0.750 0.000 0.500

Calculated values
Space-group type: Pm-3n (223)
Calculated formation energy in eV/f.u.: 1.80